Below is LiFeF3 after structural relaxation, with properties calculated at the PBE with a Hubbard U level.

Computed properties:
calculated density: 3.2 Mg/m³
uncorrected energy: -5.20 eV per atom

CIF file:
```
data_LiFeF3
_cell_length_a 4.0377
_cell_length_b 5.8589
_cell_length_c 5.5019
_cell_angle_alpha 90.00
_cell_angle_beta 108.48
_cell_angle_gamma 90.00
_space_group_name_H-M_alt 'P 1 21/m 1'
_space_group_IT_number 11
_space_group_name_Hall '-P 2yb'
loop_
_atom_site_label
_atom_site_type_symbol
_atom_site_fract_x
_atom_site_fract_y
_atom_site_fract_z
_atom_site_occupancy
Li1 Li 0.1621 0.2500 0.0606 1
Fe1 Fe 0.0464 0.7500 0.5045 1
F1 F 0.1208 0.0098 0.7946 1
F2 F 0.4375 0.2500 0.4308 1
```